Below is ThMn2Si2 after structural relaxation, with properties calculated at the GGA-PBE level.

Results
Energy relative to the elements, uncorrected in eV/atom: -0.61

a b c (Å): 3.9868 3.9868 10.4101
angles (deg): 90.00 90.00 90.00
Last column: nearest neighbours and their distance in Å.
Space group I4/mmm (No. 139)
Unique sites:
1 Th 0.0000 0.0000 0.0000  8 Si 3.10, 8 Mn 3.28
2 Mn 0.0000 0.5000 0.2500  4 Si 2.39
3 Si 0.0000 0.0000 0.3767  4 Mn 2.39, 1 Si 2.57

Below is Th3MnSi2 after structural relaxation, with properties calculated at the GGA-PBE level.

Results
Energy relative to the elements, uncorrected in eV/atom: -0.50

a b c (Å): 11.8068 4.2103 11.3640
angles (deg): 90.00 90.00 90.00
Last column: nearest neighbours and their distance in Å.
Space group Pnma (No. 62)
Unique sites:
1 Th 0.0552 0.2500 0.1221  1 Mn 2.83, 4 Si 3.06-3.08
2 Th 0.1190 0.7500 0.5609  5 Si 2.99-3.09, 3 Mn 3.08-3.12
3 Th 0.2148 0.2500 0.7956  2 Mn 2.88, 4 Si 3.04-3.14
4 Mn 0.1300 0.2500 0.3591  3 Si 2.47-2.52
5 Si 0.0283 0.7500 0.3156  2 Mn 2.47
6 Si 0.2010 0.7500 0.9942  1 Mn 2.52

Below is ThTiMnSi2 after structural relaxation, with properties calculated at the GGA-PBE level.

Results
Energy relative to the elements, uncorrected in eV/atom: -0.65

a b c (Å): 4.0472 4.0472 10.9192
angles (deg): 90.00 90.00 90.00
Last column: nearest neighbours and their distance in Å.
Space group I-4m2 (No. 119)
Unique sites:
1 Th 0.0000 0.0000 0.0000  8 Si 3.12, 4 Mn 3.40, 4 Ti 3.40
2 Ti 0.0000 0.5000 0.2500  4 Si 2.52
3 Mn 0.0000 0.5000 0.7500  4 Si 2.52
4 Si 0.0000 0.0000 0.3869  1 Si 2.47, 2 Mn 2.52, 2 Ti 2.52

Below is ThMnVSi2 after structural relaxation, with properties calculated at the GGA-PBE level.

Results
Energy relative to the elements, uncorrected in eV/atom: -0.56

a b c (Å): 4.0631 4.0631 10.5870
angles (deg): 90.00 90.00 90.00
Last column: nearest neighbours and their distance in Å.
Space group I-4m2 (No. 119)
Unique sites:
1 Th 0.0000 0.0000 0.0000  8 Si 3.13, 4 Mn 3.34, 4 V 3.34
2 Mn 0.0000 0.5000 0.7500  4 Si 2.47
3 V 0.0000 0.5000 0.2500  4 Si 2.47
4 Si 0.0000 0.0000 0.3826  2 Mn 2.47, 2 V 2.47, 1 Si 2.49

Below is ThMnSi2W after structural relaxation, with properties calculated at the GGA-PBE level.

Results
Energy relative to the elements, uncorrected in eV/atom: -0.45

a b c (Å): 4.0469 4.0469 10.9010
angles (deg): 90.00 90.00 90.00
Last column: nearest neighbours and their distance in Å.
Space group I-4m2 (No. 119)
Unique sites:
1 Th 0.0000 0.0000 0.0000  8 Si 3.13, 4 Mn 3.39, 4 W 3.39
2 Mn 0.0000 0.5000 0.2500  4 Si 2.50
3 Si 0.0000 0.0000 0.3846  2 Mn 2.50, 2 W 2.50, 1 Si 2.52
4 W 0.0000 0.5000 0.7500  4 Si 2.50

Below is TiMn2Si after structural relaxation, with properties calculated at the GGA-PBE level.

Results
Energy relative to the elements, uncorrected in eV/atom: 0.21

a b c (Å): 6.6655 6.6655 5.1612
angles (deg): 90.00 90.00 90.00
Last column: nearest neighbours and their distance in Å.
Space group I-42d (No. 122)
Unique sites:
1 Ti 0.0000 0.0000 0.0000  4 Mn 2.56, 2 Si 2.58
2 Mn 0.2255 0.2500 0.6250  2 Si 2.33, 2 Ti 2.56, 2 Mn 2.60
3 Si 0.0000 0.0000 0.5000  4 Mn 2.33, 2 Ti 2.58

Below is Ti12MnSi6 after structural relaxation, with properties calculated at the GGA-PBE level.

Results
Energy relative to the elements, uncorrected in eV/atom: -0.17

a b c (Å): 10.7488 10.7488 10.0272
angles (deg): 90.00 90.00 120.00
Last column: nearest neighbours and their distance in Å.
Space group R-3 (No. 148, hexagonal axes)
Unique sites:
1 Ti 0.0327 0.8347 0.3900  4 Si 2.53-2.63
2 Ti 0.0673 0.8702 0.8734  1 Mn 2.26
3 Mn 0.0000 0.0000 0.0000  6 Ti 2.26
4 Si 0.0469 0.6167 0.3036  7 Ti 2.53-2.68

Below is Ti4Mn2Si5 after structural relaxation, with properties calculated at the GGA-PBE level.

Results
Energy relative to the elements, uncorrected in eV/atom: -0.67

a b c (Å): 7.6800 15.9753 4.9437
angles (deg): 90.00 90.00 90.00
Last column: nearest neighbours and their distance in Å.
Space group Ibam (No. 72)
Unique sites:
1 Ti 0.1083 0.1418 0.0000  7 Si 2.62-2.85
2 Ti 0.2442 0.4356 0.0000  7 Si 2.46-2.76
3 Mn 0.0000 0.3083 0.2500  6 Si 2.40-2.62, 2 Mn 2.47
4 Si 0.0000 0.0000 0.2500  2 Si 2.47, 8 Ti 2.54-2.71
5 Si 0.0850 0.4306 0.5000  2 Mn 2.40, 3 Ti 2.46-2.62, 1 Si 2.57
6 Si 0.2038 0.2177 0.5000  4 Mn 2.46-2.62, 3 Ti 2.48-2.69

Below is Ti2MnSi2 after structural relaxation, with properties calculated at the GGA-PBE level.

Results
Energy relative to the elements, uncorrected in eV/atom: -0.67

a b c (Å): 6.1835 6.1835 3.7124
angles (deg): 90.00 90.00 90.00
Last column: nearest neighbours and their distance in Å.
Space group P4/mbm (No. 127)
Unique sites:
1 Ti 0.1690 0.3310 0.0000  6 Si 2.52-2.66
2 Mn 0.0000 0.0000 0.5000  4 Si 2.40
3 Si 0.1367 0.6367 0.5000  1 Si 2.39, 2 Mn 2.40, 6 Ti 2.52-2.66

Below is Ti2MnSi after structural relaxation, with properties calculated at the GGA-PBE level.

Results
Energy relative to the elements, uncorrected in eV/atom: 0.12

a b c (Å): 2.7309 2.7309 27.4421
angles (deg): 90.00 90.00 120.00
Last column: nearest neighbours and their distance in Å.
Space group R-3m (No. 166, hexagonal axes)
Unique sites:
1 Ti 0.0000 0.0000 0.0862  1 Mn 2.36
2 Mn 0.0000 0.0000 0.0000  2 Ti 2.36
3 Si 0.0000 0.0000 0.5000  6 Ti 2.71, 6 Si 2.73

Below is Ti2MnSi after structural relaxation, with properties calculated at the GGA-PBE level.

Results
Energy relative to the elements, uncorrected in eV/atom: 0.11

a b c (Å): 6.8437 6.8437 5.0616
angles (deg): 90.00 90.00 90.00
Last column: nearest neighbours and their distance in Å.
Space group I-42d (No. 122)
Unique sites:
1 Ti 0.2118 0.2500 0.1250  2 Mn 2.33, 2 Ti 2.58
2 Mn 0.0000 0.0000 0.0000  4 Ti 2.33, 2 Si 2.53
3 Si 0.0000 0.0000 0.5000  2 Mn 2.53, 4 Ti 2.69

Below is Ti6Mn5Si after structural relaxation, with properties calculated at the GGA-PBE level.

Results
Energy relative to the elements, uncorrected in eV/atom: -0.34

a b c (Å): 4.2084 6.0144 12.6767
angles (deg): 90.00 90.00 90.00
Last column: nearest neighbours and their distance in Å.
Space group Immm (No. 71)
Unique sites:
1 Ti 0.0000 0.2378 0.0000  6 Mn 2.54-2.57, 2 Si 2.63
2 Ti 0.0000 0.2553 0.3297  7 Mn 2.56-2.61, 1 Si 2.65
3 Mn 0.0000 0.0000 0.1682  8 Ti 2.56-2.57
4 Mn 0.0000 0.5000 0.1604  8 Ti 2.57-2.61
5 Mn 0.0000 0.5000 0.5000  8 Ti 2.54-2.61
6 Si 0.0000 0.0000 0.5000  8 Ti 2.63-2.65, 4 Mn 2.93

| no. | total energy (eV for the cell shown) |
| --- | --- |
| 1 | -79.32 |
| 2 | -181.16 |
| 3 | -77.16 |
| 4 | -78.76 |
| 5 | -85.26 |
| 6 | -123.27 |
| 7 | -418.86 |
| 8 | -337.73 |
| 9 | -78.27 |
| 10 | -89.73 |
| 11 | -119.79 |
| 12 | -205.38 |